1.
## La2SmAu (PBE)

Data for crystalline La2SmAu at its relaxed geometry.

Computed properties:
Total moment   0.0 Bohr magnetons per cell
Relative energy among the computed polymorphs   128 meV per atom
V   132 Å³/f.u.
E   -4.733 eV/atom

Lattice parameters (Å, degrees): 10.534 10.534 10.534 21.06 21.06 21.06
Sites, in units of the cell vectors:
1 La 0.238 0.238 0.238
2 La 0.762 0.762 0.762
3 Sm 0.000 0.000 0.000
4 Au 0.500 0.500 0.500

***

2.
## La2SmAu (PBE)

Data for crystalline La2SmAu at its relaxed geometry.

Computed properties:
Total moment   0.0 Bohr magnetons per cell
Relative energy among the computed polymorphs   0 meV per atom
V   129 Å³/f.u.
E   -4.861 eV/atom

Lattice parameters (Å, degrees): 7.295 10.500 6.737 90.00 90.00 90.00
Sites, in units of the cell vectors:
1 La 0.196 0.053 0.173
2 La 0.196 0.447 0.173
3 La 0.304 0.553 0.673
4 La 0.304 0.947 0.673
5 La 0.696 0.053 0.327
6 La 0.696 0.447 0.327
7 La 0.804 0.553 0.827
8 La 0.804 0.947 0.827
9 Sm 0.021 0.250 0.641
10 Sm 0.479 0.750 0.141
11 Sm 0.521 0.250 0.859
12 Sm 0.979 0.750 0.359
13 Au 0.105 0.750 0.933
14 Au 0.395 0.250 0.433
15 Au 0.605 0.750 0.567
16 Au 0.895 0.250 0.067

***

3.
## LaSm4Au5 (PBE)

Data for crystalline LaSm4Au5 at its relaxed geometry.

Computed properties:
Total moment   0.0 Bohr magnetons per cell
V   252 Å³/f.u.
E   -4.814 eV/atom

Lattice parameters (Å, degrees): 3.671 3.671 18.721 90.00 90.00 90.00
Sites, in units of the cell vectors:
1 La 0.000 0.000 0.000
2 Sm 0.000 0.000 0.204
3 Sm 0.000 0.000 0.401
4 Sm 0.000 0.000 0.599
5 Sm 0.000 0.000 0.796
6 Au 0.500 0.500 0.108
7 Au 0.500 0.500 0.302
8 Au 0.500 0.500 0.500
9 Au 0.500 0.500 0.698
10 Au 0.500 0.500 0.892

***

4.
## LaSm2Au8 (PBE)

Data for crystalline LaSm2Au8 at its relaxed geometry.

Computed properties:
Total moment   0.0 Bohr magnetons per cell
V   247 Å³/f.u.
E   -4.408 eV/atom

Lattice parameters (Å, degrees): 8.671 8.671 5.233 107.51 107.51 124.57
Sites, in units of the cell vectors:
1 La 0.000 0.000 0.000
2 Sm 0.315 0.685 0.500
3 Sm 0.685 0.315 0.500
4 Au 0.094 0.362 0.729
5 Au 0.202 0.798 0.000
6 Au 0.362 0.094 0.729
7 Au 0.500 0.500 0.250
8 Au 0.500 0.500 0.750
9 Au 0.638 0.906 0.271
10 Au 0.798 0.202 0.000
11 Au 0.906 0.638 0.271

***

| no. | DFT formation energy (eV/atom) |
| --- | --- |
| 1 | -0.270 |
| 2 | -0.398 |
| 3 | -0.795 |
| 4 | -0.718 |